(1)
Below is a relaxed Sm2Ga2Rh5Pb crystal, with properties calculated at the PBE level.

```
data_Sm2Ga2Rh5Pb
_symmetry_space_group_name_H-M 'P 1'
_symmetry_Int_Tables_number 1
_cell_length_a 3.6671
_cell_length_b 9.9403
_cell_length_c 9.9403
_cell_angle_alpha 90.00
_cell_angle_beta 90.00
_cell_angle_gamma 90.00
loop_
_symmetry_equiv_pos_as_xyz
'x,y,z'
loop_
_atom_site_label
_atom_site_type_symbol
_atom_site_fract_x
_atom_site_fract_y
_atom_site_fract_z
Rh1 Rh 0.5000 0.5694 0.7122
Pb1 Pb 0.0000 0.5000 0.5000
Rh2 Rh 0.5000 0.0000 0.5000
Sm1 Sm 0.0000 0.1756 0.3244
Rh3 Rh 0.5000 0.2122 0.0694
Rh4 Rh 0.5000 0.5000 0.0000
Sm2 Sm 0.0000 0.3244 0.8244
Rh5 Rh 0.5000 0.2878 0.5694
Ga1 Ga 0.0000 0.1208 0.6208
Sm3 Sm 0.0000 0.8244 0.6756
Rh6 Rh 0.5000 0.7122 0.4306
Ga2 Ga 0.0000 0.6208 0.8792
Rh7 Rh 0.5000 0.4306 0.2878
Rh8 Rh 0.5000 0.0694 0.7878
Ga3 Ga 0.0000 0.3792 0.1208
Rh9 Rh 0.5000 0.7878 0.9306
Ga4 Ga 0.0000 0.8792 0.3792
Pb2 Pb 0.0000 0.0000 0.0000
Sm4 Sm 0.0000 0.6756 0.1756
Rh10 Rh 0.5000 0.9306 0.2122
```

Computed properties:
Crystal system = tetragonal
E_tot = -6.304 eV/atom
Total magnetic moment = 0.0 Bohr magnetons per cell
Space-group type = P4/mbm, No. 127

=====

(2)
Below is a relaxed CeTa2N4 crystal, with properties calculated at the PBE level.

```
data_CeTa2N4
_symmetry_space_group_name_H-M 'P 1'
_symmetry_Int_Tables_number 1
_cell_length_a 6.4532
_cell_length_b 6.4532
_cell_length_c 6.4666
_cell_angle_alpha 119.93
_cell_angle_beta 119.93
_cell_angle_gamma 90.00
loop_
_symmetry_equiv_pos_as_xyz
'x,y,z'
loop_
_atom_site_label
_atom_site_type_symbol
_atom_site_fract_x
_atom_site_fract_y
_atom_site_fract_z
N1 N 0.8904 0.1085 0.2169
N2 N 0.3585 0.0765 0.7169
Ce1 Ce 0.5000 0.5000 0.0000
N3 N 0.8916 0.1096 0.7831
Ta1 Ta 0.6250 0.8750 0.7500
N4 N 0.3596 0.6415 0.2831
Ta2 Ta 0.1250 0.8750 0.7500
Ta3 Ta 0.1250 0.3750 0.2500
Ta4 Ta 0.1250 0.8750 0.2500
N5 N 0.9235 0.6416 0.2831
N6 N 0.8915 0.6735 0.7831
Ce2 Ce 0.7500 0.2500 0.5000
N7 N 0.3584 0.6404 0.7169
N8 N 0.3265 0.1084 0.2169
```

Computed properties:
Raw formation energy = -1.15 eV/atom
Crystal system = tetragonal
Total magnetic moment = 0.3 Bohr magnetons per cell
Space-group type = I4_1/amd, No. 141

=====

(3)
Below is a relaxed Na2AgSbF6 crystal, with properties calculated at the PBE level.

```
data_Na2AgSbF6
_symmetry_space_group_name_H-M 'P 1'
_symmetry_Int_Tables_number 1
_cell_length_a 6.0646
_cell_length_b 6.0643
_cell_length_c 6.0534
_cell_angle_alpha 59.91
_cell_angle_beta 59.90
_cell_angle_gamma 59.98
loop_
_symmetry_equiv_pos_as_xyz
'x,y,z'
loop_
_atom_site_label
_atom_site_type_symbol
_atom_site_fract_x
_atom_site_fract_y
_atom_site_fract_z
F1 F 0.2342 0.9144 0.2231
Na1 Na 0.0220 0.0220 0.9340
F2 F 0.6279 0.2344 0.2231
Ag1 Ag 0.8058 0.8059 0.5824
F3 F 0.1512 0.3976 0.7842
Sb1 Sb 0.3085 0.3085 0.0743
Na2 Na 0.5325 0.5325 0.4025
F4 F 0.9146 0.6281 0.2234
F5 F 0.6673 0.1512 0.7841
F6 F 0.3975 0.6671 0.7841
```

Computed properties:
Raw formation energy = -2.25 eV/atom
Crystal system = trigonal
Total magnetic moment = 0.0 Bohr magnetons per cell
Space-group type = R3, No. 146

=====

(4)
Below is a relaxed DyAlPb crystal, with properties calculated at the PBE level.

```
data_DyAlPb
_symmetry_space_group_name_H-M 'P 1'
_symmetry_Int_Tables_number 1
_cell_length_a 4.3560
_cell_length_b 4.5217
_cell_length_c 4.5217
_cell_angle_alpha 120.00
_cell_angle_beta 90.00
_cell_angle_gamma 90.00
loop_
_symmetry_equiv_pos_as_xyz
'x,y,z'
loop_
_atom_site_label
_atom_site_type_symbol
_atom_site_fract_x
_atom_site_fract_y
_atom_site_fract_z
Al1 Al 0.0456 0.0000 0.0000
Pb1 Pb 0.2657 0.3333 0.6667
Dy1 Dy 0.6886 0.6667 0.3333
```

Computed properties:
Crystal system = trigonal
E_tot = -4.237 eV/atom
Total magnetic moment = 0.0 Bohr magnetons per cell
Space-group type = P3m1, No. 156

=====

(5)
Below is a relaxed Ac2TbNd crystal, with properties calculated at the PBE level.

```
data_Ac2TbNd
_symmetry_space_group_name_H-M 'P 1'
_symmetry_Int_Tables_number 1
_cell_length_a 3.8338
_cell_length_b 3.8338
_cell_length_c 12.4378
_cell_angle_alpha 81.13
_cell_angle_beta 81.13
_cell_angle_gamma 60.00
loop_
_symmetry_equiv_pos_as_xyz
'x,y,z'
loop_
_atom_site_label
_atom_site_type_symbol
_atom_site_fract_x
_atom_site_fract_y
_atom_site_fract_z
Ac1 Ac 0.2511 0.2511 0.2466
Ac2 Ac 0.0823 0.0823 0.7532
Tb1 Tb 0.6675 0.6675 0.9974
Nd1 Nd 0.4991 0.4991 0.5027
```

Computed properties:
Crystal system = trigonal
E_tot = -4.354 eV/atom
Total magnetic moment = 0.0 Bohr magnetons per cell
Space-group type = R3m, No. 160

=====

(6)
Below is a relaxed LiY4Se4 crystal, with properties calculated at the PBE level.

```
data_LiY4Se4
_symmetry_space_group_name_H-M 'P 1'
_symmetry_Int_Tables_number 1
_cell_length_a 5.7060
_cell_length_b 6.9183
_cell_length_c 6.9239
_cell_angle_alpha 80.11
_cell_angle_beta 65.67
_cell_angle_gamma 65.65
loop_
_symmetry_equiv_pos_as_xyz
'x,y,z'
loop_
_atom_site_label
_atom_site_type_symbol
_atom_site_fract_x
_atom_site_fract_y
_atom_site_fract_z
Y1 Y 0.2034 0.1999 0.3934
Se1 Se 0.0935 0.6175 0.1955
Y2 Y 0.7966 0.8001 0.6066
Se2 Se 0.9065 0.3825 0.8045
Se3 Se 0.2897 0.8033 0.6173
Li1 Li 0.0000 0.0000 0.0000
Se4 Se 0.7103 0.1967 0.3827
Y3 Y 0.4040 0.3915 0.8005
Y4 Y 0.5960 0.6085 0.1995
```

Computed properties:
Raw formation energy = -1.50 eV/atom
Crystal system = monoclinic
Total magnetic moment = 0.0 Bohr magnetons per cell
Space-group type = C2/m, No. 12

=====

(7)
Below is a relaxed ScTlOs2 crystal, with properties calculated at the PBE level.

```
data_ScTlOs2
_symmetry_space_group_name_H-M 'P 1'
_symmetry_Int_Tables_number 1
_cell_length_a 4.1439
_cell_length_b 4.1439
_cell_length_c 9.9220
_cell_angle_alpha 77.95
_cell_angle_beta 77.95
_cell_angle_gamma 90.00
loop_
_symmetry_equiv_pos_as_xyz
'x,y,z'
loop_
_atom_site_label
_atom_site_type_symbol
_atom_site_fract_x
_atom_site_fract_y
_atom_site_fract_z
Sc1 Sc 0.2500 0.7500 0.5000
Tl1 Tl 0.0000 0.0000 0.0000
Sc2 Sc 0.5000 0.5000 0.0000
Os1 Os 0.8750 0.7875 0.7500
Tl2 Tl 0.7500 0.2500 0.5000
Os2 Os 0.3750 0.4625 0.7500
Os3 Os 0.2125 0.6250 0.2500
Os4 Os 0.5375 0.1250 0.2500
```

Computed properties:
Crystal system = tetragonal
E_tot = -7.114 eV/atom
Total magnetic moment = 0.0 Bohr magnetons per cell
Space-group type = I-42d, No. 122

=====

(8)
Below is a relaxed RuI crystal, with properties calculated at the PBE level.

```
data_RuI
_symmetry_space_group_name_H-M 'P 1'
_symmetry_Int_Tables_number 1
_cell_length_a 5.5191
_cell_length_b 5.5191
_cell_length_c 5.5191
_cell_angle_alpha 90.00
_cell_angle_beta 90.00
_cell_angle_gamma 90.00
loop_
_symmetry_equiv_pos_as_xyz
'x,y,z'
loop_
_atom_site_label
_atom_site_type_symbol
_atom_site_fract_x
_atom_site_fract_y
_atom_site_fract_z
I1 I 0.0000 0.5000 0.0000
Ru1 Ru 0.5000 0.0000 0.5000
I2 I 0.5000 0.5000 0.5000
Ru2 Ru 0.5000 0.5000 0.0000
I3 I 0.0000 0.0000 0.5000
Ru3 Ru 0.0000 0.5000 0.5000
I4 I 0.5000 0.0000 0.0000
Ru4 Ru 0.0000 0.0000 0.0000
```

Computed properties:
Raw formation energy = 1.03 eV/atom
Crystal system = cubic
Total magnetic moment = 0.0 Bohr magnetons per cell
Space-group type = Fm-3m, No. 225